1.
First-principles (PBE-GGA) data for a relaxed LiSc2Si crystal, as listed in Alexandria.

a = 4.4243 Å, b = 4.4243 Å, c = 3.7530 Å
α = 90.00°, β = 90.00°, γ = 90.00°
With the nearest neighbours (Å) after each atom.
Space group P4/mmm (No. 123)
Unique sites:
Li 0.0000 0.0000 0.0000 x1  8 Sc 2.90, 4 Si 3.13
Sc 0.0000 0.5000 0.5000 x2  4 Li 2.90, 4 Si 2.90, 4 Sc 3.13
Si 0.5000 0.5000 0.0000 x1  8 Sc 2.90, 4 Li 3.13

***

2.
First-principles (PBE-GGA) data for a relaxed LiScSi crystal, as listed in Alexandria.

a = 4.6479 Å, b = 4.6479 Å, c = 6.2982 Å
α = 90.00°, β = 90.00°, γ = 120.00°
With the nearest neighbours (Å) after each atom.
Space group P-6m2 (No. 187)
Unique sites:
Li 0.0000 0.0000 0.0000 x1  6 Si 3.03, 6 Sc 3.11, 2 Li 3.15
Li 0.0000 0.0000 0.5000 x1  6 Sc 3.11, 2 Li 3.15, 6 Si 3.20
Sc 0.6667 0.3333 0.2492 x2  3 Si 2.69
Si 0.3333 0.6667 0.2225 x2  3 Sc 2.69, 1 Si 2.80

***

3.
First-principles (PBE-GGA) data for a relaxed LiScSi2 crystal, as listed in Alexandria.

a = 8.1409 Å, b = 3.7443 Å, c = 4.7075 Å
α = 90.00°, β = 112.04°, γ = 90.00°
With the nearest neighbours (Å) after each atom.
Space group C2/m (No. 12)
Unique sites:
Li 0.0000 0.0000 0.0000 x2  6 Si 2.50-2.61
Sc 0.0000 0.5000 0.5000 x2  8 Si 2.83-2.99, 4 Li 3.01
Si 0.2406 0.5000 0.1610 x4  2 Si 2.45, 3 Li 2.50-2.61

Calculated values
The excess energy over the best structure of this formula in the dataset is 0.078 eV/atom.

***

Number 1: theoretical density 2.8 g/cm³, formation energy from raw total energies -380 meV per atom. Number 2: theoretical density 2.3 g/cm³, formation energy from raw total energies -46 meV per atom. Number 3: theoretical density 2.7 g/cm³, formation energy from raw total energies -402 meV per atom.